YReAg: relaxed, PBE.

Lattice parameters (Å, degrees): 6.6098 6.6098 6.6098 90.00 90.00 90.00
Closest atoms and distances in Å follow each position.
Space group F-43m (No. 216)
Inequivalent atoms, fractional coordinates:
Y 0.0000 0.0000 0.0000 (multiplicity 4)  4 Re 2.86
Re 0.2500 0.2500 0.7500 (multiplicity 4)  4 Y 2.86, 4 Ag 2.86
Ag 0.0000 0.0000 0.5000 (multiplicity 4)  4 Re 2.86

Properties
The calculation puts the total energy at -6.252 eV/atom. The energy above the lowest structure with this stoichiometry comes out at 522 meV per atom. The calculated density comes out at 8.8 g/cm³. Its energy of formation from the pure elements is 1002.9 meV per atom.

Sc2CuH4: relaxed, PBE.

Lattice parameters (Å, degrees): 3.3754 3.3754 11.4347 90.00 90.00 90.00
Closest atoms and distances in Å follow each position.
Space group I4/mmm (No. 139)
Inequivalent atoms, fractional coordinates:
Sc 0.0000 0.0000 0.1569 (multiplicity 4)  1 H 2.07
Cu 0.0000 0.0000 0.5000 (multiplicity 2)  6 H 1.69-1.86
H 0.0000 0.0000 0.3376 (multiplicity 4)  1 Cu 1.86, 1 Sc 2.07
H 0.0000 0.5000 0.0000 (multiplicity 4)  2 Cu 1.69

Properties
The calculation puts the total energy at -4.579 eV/atom. The calculated density comes out at 4.0 g/cm³.

calculated density of number 2 (Sc2CuH4)? 4.0 g/cm³

Please write out number 2 again, unchanged.
Sc2CuH4: relaxed, PBE.

Lattice parameters (Å, degrees): 3.3754 3.3754 11.4347 90.00 90.00 90.00
Closest atoms and distances in Å follow each position.
Space group I4/mmm (No. 139)
Inequivalent atoms, fractional coordinates:
Sc 0.0000 0.0000 0.1569 (multiplicity 4)  1 H 2.07
Cu 0.0000 0.0000 0.5000 (multiplicity 2)  6 H 1.69-1.86
H 0.0000 0.0000 0.3376 (multiplicity 4)  1 Cu 1.86, 1 Sc 2.07
H 0.0000 0.5000 0.0000 (multiplicity 4)  2 Cu 1.69

Properties
The calculation puts the total energy at -4.579 eV/atom. The calculated density comes out at 4.0 g/cm³.